[1]
# SnBi2Pd8 | Alexandria | PBE-GGA | relaxed
# V = 18.3 Å³ per atom
# energy of formation = -3.53 eV per formula unit
# mass density = 11.473 g/cm³
data_SnBi2Pd8
_chemical_formula_sum 'Sn2 Bi4 Pd16'
_space_group_name_H-M_alt 'I m m m'
_space_group_IT_number 71
_space_group_name_Hall '-I 2 2'
_cell_length_a 4.048
_cell_length_b 8.122
_cell_length_c 12.221
_cell_angle_alpha 90.00
_cell_angle_beta 90.00
_cell_angle_gamma 90.00
loop_
_atom_site_label
_atom_site_fract_x
_atom_site_fract_y
_atom_site_fract_z
_atom_site_occupancy
Sn1 0.000 0.000 0.000 1
Bi1 0.000 0.000 0.345 1
Pd1 0.000 0.248 0.164 1
Pd2 0.000 0.260 0.500 1
Pd3 0.000 0.500 0.331 1


[2]
# Cs2NaMoBr6 | Alexandria | PBE-GGA | relaxed
# formation energy from raw total energies = -1.268 eV per atom
# V = 35.9 Å³ per atom
# relative energy among the computed polymorphs = 0 meV per atom
# mass density = 3.994 g/cm³
data_Cs2NaMoBr6
_chemical_formula_sum 'Cs12 Na6 Mo6 Br36'
_space_group_name_H-M_alt 'R -3 m'
_space_group_IT_number 166
_space_group_name_Hall '-R 3 2"'
_cell_length_a 7.8742
_cell_length_b 7.8742
_cell_length_c 40.1466
_cell_angle_alpha 90.00
_cell_angle_beta 90.00
_cell_angle_gamma 120.00
loop_
_atom_site_label
_atom_site_fract_x
_atom_site_fract_y
_atom_site_fract_z
_atom_site_occupancy
Cs1 0.0000 0.0000 0.1264 1
Cs2 0.0000 0.0000 0.2949 1
Na1 0.0000 0.0000 0.4129 1
Mo1 0.0000 0.0000 0.0000 1
Mo2 0.0000 0.0000 0.5000 1
Br1 0.0175 0.5087 0.1290 1
Br2 0.0211 0.5105 0.7047 1


[3]
# DyHo2Tl2Cd2 | Alexandria | PBE-GGA | relaxed
# V = 26.8 Å³ per atom
# energy of formation = -0.84 eV per formula unit
# mass density = 9.955 g/cm³
data_DyHo2Tl2Cd2
_chemical_formula_sum 'Dy3 Ho6 Tl6 Cd6'
_space_group_name_H-M_alt 'R -3 m'
_space_group_IT_number 166
_space_group_name_Hall '-R 3 2"'
_cell_length_a 5.0093
_cell_length_b 5.0093
_cell_length_c 25.9282
_cell_angle_alpha 90.00
_cell_angle_beta 90.00
_cell_angle_gamma 120.00
loop_
_atom_site_label
_atom_site_fract_x
_atom_site_fract_y
_atom_site_fract_z
_atom_site_occupancy
Dy1 0.0000 0.0000 0.0000 1
Ho1 0.0000 0.0000 0.1332 1
Tl1 0.0000 0.0000 0.2705 1
Cd1 0.0000 0.0000 0.4293 1


[4]
# LaNdCd17 | Alexandria | PBE-GGA | relaxed
# V = 23.4 Å³ per atom
# energy of formation = -3.28 eV per formula unit
# mass density = 8.199 g/cm³
data_LaNdCd17
_chemical_formula_sum 'La3 Nd3 Cd51'
_space_group_name_H-M_alt 'R 3 m'
_space_group_IT_number 160
_space_group_name_Hall 'R 3 -2"'
_cell_length_a 10.1290
_cell_length_b 10.1290
_cell_length_c 15.0049
_cell_angle_alpha 90.00
_cell_angle_beta 90.00
_cell_angle_gamma 120.00
loop_
_atom_site_label
_atom_site_fract_x
_atom_site_fract_y
_atom_site_fract_z
_atom_site_occupancy
La1 0.0000 0.0000 0.0000 1
Nd1 0.0000 0.0000 0.6633 1
Cd1 0.0000 0.0000 0.2352 1
Cd2 0.0000 0.0000 0.4362 1
Cd3 0.0014 0.3001 0.3330 1
Cd4 0.0012 0.5006 0.1866 1
Cd5 0.0133 0.5066 0.8304 1
Cd6 0.0291 0.5146 0.4827 1


[5]
# BeVAu | Alexandria | PBE-GGA | relaxed
# V = 13.3 Å³ per atom
# relative energy among the computed polymorphs = 61 meV per atom
# energy of formation = -0.08 eV per formula unit
# mass density = 10.675 g/cm³
data_BeVAu
_chemical_formula_sum 'Be2 V2 Au2'
_space_group_name_H-M_alt 'P 1 m 1'
_space_group_IT_number 6
_space_group_name_Hall 'P -2y'
_cell_length_a 4.299
_cell_length_b 3.185
_cell_length_c 6.218
_cell_angle_alpha 90.00
_cell_angle_beta 110.15
_cell_angle_gamma 90.00
loop_
_atom_site_label
_atom_site_fract_x
_atom_site_fract_y
_atom_site_fract_z
_atom_site_occupancy
Be1 0.000 0.000 0.000 1
Be2 0.317 0.000 0.635 1
V1 0.484 0.500 0.969 1
V2 0.634 0.000 0.269 1
Au1 0.162 0.500 0.324 1
Au2 0.837 0.500 0.674 1


[6]
# Ho5Mg4Al | Alexandria | PBE-GGA | relaxed
# V = 26.1 Å³ per atom
# energy of formation = -1.43 eV per formula unit
# mass density = 6.040 g/cm³
data_Ho5Mg4Al
_chemical_formula_sum 'Ho5 Mg4 Al1'
_space_group_name_H-M_alt 'P 4/m m m'
_space_group_IT_number 123
_space_group_name_Hall '-P 4 2'
_cell_length_a 3.706
_cell_length_b 3.706
_cell_length_c 18.994
_cell_angle_alpha 90.00
_cell_angle_beta 90.00
_cell_angle_gamma 90.00
loop_
_atom_site_label
_atom_site_fract_x
_atom_site_fract_y
_atom_site_fract_z
_atom_site_occupancy
Ho1 0.000 0.000 0.000 1
Ho2 0.000 0.000 0.204 1
Ho3 0.000 0.000 0.409 1
Mg1 0.500 0.500 0.102 1
Mg2 0.500 0.500 0.305 1
Al1 0.500 0.500 0.500 1


[7]
# La3HgP | Alexandria | PBE-GGA | relaxed
# V = 34.8 Å³ per atom
# relative energy among the computed polymorphs = 142 meV per atom
# energy of formation = -3.00 eV per formula unit
# mass density = 6.186 g/cm³
data_La3HgP
_chemical_formula_sum 'La3 Hg1 P1'
_space_group_name_H-M_alt 'P m -3 m'
_space_group_IT_number 221
_space_group_name_Hall '-P 4 2 3'
_cell_length_a 5.583
_cell_length_b 5.583
_cell_length_c 5.583
_cell_angle_alpha 90.00
_cell_angle_beta 90.00
_cell_angle_gamma 90.00
loop_
_atom_site_label
_atom_site_fract_x
_atom_site_fract_y
_atom_site_fract_z
_atom_site_occupancy
La1 0.000 0.000 0.500 1
Hg1 0.500 0.500 0.500 1
P1 0.000 0.000 0.000 1


[8]
# LiTbLuFe | Alexandria | PBE-GGA | relaxed
# V = 19.6 Å³ per atom
# energy of formation = 0.26 eV per formula unit
# mass density = 8.417 g/cm³
data_LiTbLuFe
_chemical_formula_sum 'Li4 Tb4 Lu4 Fe4'
_space_group_name_H-M_alt 'F -4 3 m'
_space_group_IT_number 216
_space_group_name_Hall 'F -4 2 3'
_cell_length_a 6.790
_cell_length_b 6.790
_cell_length_c 6.790
_cell_angle_alpha 90.00
_cell_angle_beta 90.00
_cell_angle_gamma 90.00
loop_
_atom_site_label
_atom_site_fract_x
_atom_site_fract_y
_atom_site_fract_z
_atom_site_occupancy
Li1 0.000 0.000 0.000 1
Tb1 0.250 0.250 0.250 1
Lu1 0.250 0.250 0.750 1
Fe1 0.000 0.000 0.500 1


[9]
# MgNbVCu2 | Alexandria | PBE-GGA | relaxed
# V = 17.1 Å³ per atom
# energy of formation = 6.22 eV per formula unit
# mass density = 5.721 g/cm³
data_MgNbVCu2
_chemical_formula_sum 'Mg1 Nb1 V1 Cu2'
_space_group_name_H-M_alt 'P 4/m m m'
_space_group_IT_number 123
_space_group_name_Hall '-P 4 2'
_cell_length_a 4.280
_cell_length_b 4.280
_cell_length_c 4.678
_cell_angle_alpha 90.00
_cell_angle_beta 90.00
_cell_angle_gamma 90.00
loop_
_atom_site_label
_atom_site_fract_x
_atom_site_fract_y
_atom_site_fract_z
_atom_site_occupancy
Mg1 0.000 0.000 0.000 1
Nb1 0.500 0.500 0.500 1
V1 0.000 0.000 0.500 1
Cu1 0.000 0.500 0.000 1


[10]
# TaAg2Se4 | Alexandria | PBE-GGA | relaxed
# formation energy from raw total energies = -0.365 eV per atom
# V = 31.7 Å³ per atom
# mass density = 5.338 g/cm³
data_TaAg2Se4
_chemical_formula_sum 'Ta1 Ag2 Se4'
_space_group_name_H-M_alt 'P -4 2 m'
_space_group_IT_number 111
_space_group_name_Hall 'P -4 2'
_cell_length_a 6.171
_cell_length_b 6.171
_cell_length_c 5.820
_cell_angle_alpha 90.00
_cell_angle_beta 90.00
_cell_angle_gamma 90.00
loop_
_atom_site_label
_atom_site_fract_x
_atom_site_fract_y
_atom_site_fract_z
_atom_site_occupancy
Ta1 0.000 0.000 0.000 1
Ag1 0.000 0.500 0.000 1
Se1 0.222 0.222 0.256 1


[11]
# Mn2ZnCo | Alexandria | PBE-GGA | relaxed
# V = 12.1 Å³ per atom
# energy of formation = 0.41 eV per formula unit
# mass density = 8.063 g/cm³
data_Mn2ZnCo
_chemical_formula_sum 'Mn4 Zn2 Co2'
_space_group_name_H-M_alt 'C m m 2'
_space_group_IT_number 35
_space_group_name_Hall 'C 2 -2'
_cell_length_a 2.861
_cell_length_b 4.134
_cell_length_c 8.155
_cell_angle_alpha 90.00
_cell_angle_beta 90.00
_cell_angle_gamma 90.00
loop_
_atom_site_label
_atom_site_fract_x
_atom_site_fract_y
_atom_site_fract_z
_atom_site_occupancy
Mn1 0.000 0.000 0.000 1
Mn2 0.000 0.500 0.238 1
Zn1 0.000 0.500 0.734 1
Co1 0.000 0.000 0.476 1


[12]
# PrMg9Pd2 | Alexandria | PBE-GGA | relaxed
# V = 21.7 Å³ per atom
# energy of formation = -3.61 eV per formula unit
# mass density = 3.650 g/cm³
data_PrMg9Pd2
_chemical_formula_sum 'Pr4 Mg36 Pd8'
_space_group_name_H-M_alt 'I 41/a m d'
_space_group_IT_number 141
_cell_length_a 11.729
_cell_length_b 11.729
_cell_length_c 7.574
_cell_angle_alpha 90.00
_cell_angle_beta 90.00
_cell_angle_gamma 90.00
loop_
_space_group_symop_operation_xyz
'x,y,z'
'-x,-y,-z'
'-y+1/4,x+3/4,z+1/4'
'y+1/4,-x+3/4,-z+1/4'
'-x+1/2,-y,z+1/2'
'x+1/2,y,-z+1/2'
'y+1/4,-x+1/4,z+3/4'
'-y+1/4,x+1/4,-z+3/4'
'x,-y,-z'
'-x,y,z'
'-y+1/4,-x+1/4,-z+3/4'
'y+1/4,x+1/4,z+3/4'
'-x+1/2,y,-z+1/2'
'x+1/2,-y,z+1/2'
'y+1/4,x+3/4,-z+1/4'
'-y+1/4,-x+3/4,z+1/4'
'x+1/2,y+1/2,z+1/2'
'-x+1/2,-y+1/2,-z+1/2'
'-y+3/4,x+1/4,z+3/4'
'y+3/4,-x+1/4,-z+3/4'
'-x,-y+1/2,z'
'x,y+1/2,-z'
'y+3/4,-x+3/4,z+1/4'
'-y+3/4,x+3/4,-z+1/4'
'x+1/2,-y+1/2,-z+1/2'
'-x+1/2,y+1/2,z+1/2'
'-y+3/4,-x+3/4,-z+1/4'
'y+3/4,x+3/4,z+1/4'
'-x,y+1/2,-z'
'x,-y+1/2,z'
'y+3/4,x+1/4,-z+3/4'
'-y+3/4,-x+1/4,z+3/4'
loop_
_atom_site_label
_atom_site_fract_x
_atom_site_fract_y
_atom_site_fract_z
_atom_site_occupancy
Pr1 0.000 0.250 0.375 1
Mg1 0.000 0.250 0.875 1
Mg2 0.122 0.052 0.688 1
Pd1 0.000 0.000 0.000 1


Repeat the eleventh record exactly.
# Mn2ZnCo | Alexandria | PBE-GGA | relaxed
# V = 12.1 Å³ per atom
# energy of formation = 0.41 eV per formula unit
# mass density = 8.063 g/cm³
data_Mn2ZnCo
_chemical_formula_sum 'Mn4 Zn2 Co2'
_space_group_name_H-M_alt 'C m m 2'
_space_group_IT_number 35
_space_group_name_Hall 'C 2 -2'
_cell_length_a 2.861
_cell_length_b 4.134
_cell_length_c 8.155
_cell_angle_alpha 90.00
_cell_angle_beta 90.00
_cell_angle_gamma 90.00
loop_
_atom_site_label
_atom_site_fract_x
_atom_site_fract_y
_atom_site_fract_z
_atom_site_occupancy
Mn1 0.000 0.000 0.000 1
Mn2 0.000 0.500 0.238 1
Zn1 0.000 0.500 0.734 1
Co1 0.000 0.000 0.476 1